(1)
Computed, not measured: crystalline Tb7ErCd2 at its relaxed geometry at the PBE-GGA level of DFT.

```
10
Lattice="5.2314 0.0000 0.0000 0.0000 9.0925 -0.3470 0.0000 -4.4118 7.9581" Properties=species:S:1:pos:R:3 pbc="T T T"
Tb 2.6157 2.2619 7.1862
Tb 2.6157 5.3929 5.2607
Tb 2.6157 -0.7121 2.3504
Tb 0.0000 -1.4207 6.1186
Tb 2.6157 2.3404 3.8056
Tb 2.6157 2.4188 0.4249
Tb 0.0000 6.1015 1.4925
Er 0.0000 0.0000 0.0000
Cd 2.6157 4.9911 2.1754
Cd 2.6157 -0.3103 5.4357
```

Total magnetization   0.010 Bohr magnetons per cell
Formation energy   39.5 kJ/mol of atoms

=====

(2)
Computed, not measured: crystalline Tb3Y3Sc at its relaxed geometry at the PBE-GGA level of DFT.

```
14
Lattice="5.8735 0.0000 1.8875 2.6335 5.2500 1.8875 -1.3219 -0.8158 14.1954" Properties=species:S:1:pos:R:3 pbc="T T T"
Y 1.4270 -0.3315 12.3810
Y 5.7580 4.7657 5.5895
Y 1.2167 3.1648 13.0068
Y 5.9684 1.2694 4.9637
Y 4.2550 1.4242 13.6380
Y 2.9301 3.0101 4.3325
Tb 5.9888 2.4970 8.2707
Tb 3.1561 0.7228 7.0085
Tb 2.9322 4.2335 7.6328
Tb 1.1963 1.9372 9.6997
Tb 4.2529 0.2007 10.3376
Tb 4.0290 3.7114 10.9619
Sc 2.8355 1.7499 1.2588
Sc 4.3496 2.6843 16.7116
```

Total magnetization   0.000 Bohr magnetons per cell
Formation energy   15.9 kJ/mol of atoms
Energy relative to the lowest polymorph listed for this composition   143 meV/atom

=====

(3)
Computed, not measured: crystalline DyGa2Ru2C at its relaxed geometry at the PBE-GGA level of DFT.

```
6
Lattice="-2.7827 3.0026 0.1610 -0.3637 -0.5538 4.0430 4.0445 3.7015 0.8709" Properties=species:S:1:pos:R:3 pbc="T T T"
Ga 1.3301 3.8815 2.7272
Ga -0.4321 2.2688 2.3477
Ru -1.3913 1.5013 0.0805
Ru -0.1819 -0.2769 2.0215
C 0.0000 0.0000 0.0000
Dy 2.0222 1.8507 0.4354
```

Total magnetization   0.000 Bohr magnetons per cell
Formation energy   -38.4 kJ/mol of atoms

=====

(4)
Computed, not measured: crystalline Tb6PmHo3Sc2 at its relaxed geometry at the PBE-GGA level of DFT.

```
12
Lattice="6.0796 0.0009 0.0094 -3.0376 5.2664 0.0094 -1.0262 -1.7769 11.4311" Properties=species:S:1:pos:R:3 pbc="T T T"
Pm 0.0000 0.0000 0.0000
Tb 2.0410 -0.0033 2.8256
Tb -0.0011 -0.0020 8.6166
Tb 3.0387 1.7242 8.6243
Tb -1.0229 1.7662 2.8256
Tb 2.0170 3.4924 2.8333
Tb -0.0251 3.4937 8.6243
Sc 3.0416 1.7555 0.0094
Sc 0.0005 3.5119 0.0094
Ho 4.0433 -0.0079 5.7249
Ho -2.0275 3.4983 5.7249
Ho 1.0079 1.7452 5.7249
```

Total magnetization   0.000 Bohr magnetons per cell
Formation energy   3.4 kJ/mol of atoms

=====

(5)
Computed, not measured: crystalline Th2NbRhN5 at its relaxed geometry at the PBE-GGA level of DFT.

```
18
Lattice="-0.7113 2.6498 1.8984 -5.1902 -0.2309 -4.5543 -5.5202 -6.2147 6.6061" Properties=species:S:1:pos:R:3 pbc="T T T"
N -6.7059 -3.4279 2.2720
N -9.6720 -3.7242 1.5742
N -1.9832 -0.3343 2.6554
N -8.4479 -1.2820 1.5558
N -4.5949 -1.4659 3.2562
N -9.5494 -5.3951 3.9524
N -1.0472 -0.3448 0.0889
N -7.1797 -3.7094 5.4192
N -5.6066 -1.6226 0.1641
N -3.6168 0.8693 0.3632
Th -4.9304 -4.0123 3.7530
Th -5.7463 1.0553 -0.6943
Th -3.2816 -1.5933 0.9943
Th -8.7670 -2.9083 3.7062
Nb -6.5260 -1.2046 2.1679
Nb -2.2790 0.3547 -1.3490
Rh -7.7090 -1.7979 -0.3790
Rh -5.9692 -4.5382 7.0296
```

Total magnetization   0.000 Bohr magnetons per cell
E_form (uncorrected)   -0.98 eV/atom

=====

(6)
Computed, not measured: crystalline ZrSb4Pd15 at its relaxed geometry at the PBE-GGA level of DFT.

```
20
Lattice="4.0606 0.0000 0.0000 0.0000 4.0606 0.0000 0.0000 0.0000 20.1781" Properties=species:S:1:pos:R:3 pbc="T T T"
Sb 0.0000 0.0000 12.1090
Sb 0.0000 0.0000 4.0478
Sb 0.0000 0.0000 16.1303
Sb 0.0000 0.0000 8.0691
Pd 2.0303 2.0303 0.0000
Pd 0.0000 2.0303 6.0394
Pd 2.0303 0.0000 10.0890
Pd 2.0303 2.0303 8.0530
Pd 2.0303 2.0303 16.1563
Pd 2.0303 0.0000 6.0394
Pd 0.0000 2.0303 10.0890
Pd 2.0303 0.0000 18.1994
Pd 2.0303 2.0303 4.0218
Pd 0.0000 2.0303 14.1387
Pd 0.0000 2.0303 1.9787
Pd 2.0303 0.0000 1.9787
Pd 2.0303 2.0303 12.1251
Pd 0.0000 2.0303 18.1994
Pd 2.0303 0.0000 14.1387
Zr 0.0000 0.0000 0.0000
```

Total magnetization   0.000 Bohr magnetons per cell
E_form (uncorrected)   -0.45 eV/atom

=====

(7)
Computed, not measured: crystalline CaPm3Nd2S6 at its relaxed geometry at the PBE-GGA level of DFT.

```
12
Lattice="-3.3992 -5.8533 1.8154 0.5204 1.8050 -6.7515 6.5788 -2.0720 1.1576" Properties=species:S:1:pos:R:3 pbc="T T T"
S 3.4073 -3.3504 -4.2515
S 1.5753 -0.2638 -2.3304
S 4.2394 -2.5429 -0.3336
S -0.5395 -3.5774 -3.4448
S 0.2927 -2.7699 0.4730
S 2.1246 -5.8565 -1.4480
Pm 0.5468 -5.6065 0.9592
Pm 3.1532 -0.5139 -4.7376
Pm 1.8500 -3.0602 -1.8892
Nd -2.0932 -3.3015 -1.0391
Nd -0.7857 -0.7468 -3.8969
Ca 0.0000 0.0000 0.0000
```

Total magnetization   0.000 Bohr magnetons per cell
E_form (uncorrected)   -2.04 eV/atom

=====

(8)
Computed, not measured: crystalline SmSi3Au3 at its relaxed geometry at the PBE-GGA level of DFT.

```
14
Lattice="6.8123 0.0000 0.0000 0.0000 6.8123 0.0000 0.0000 0.0000 6.8123" Properties=species:S:1:pos:R:3 pbc="T T T"
Si 5.1092 0.0000 3.4062
Si 0.0000 3.4062 5.1092
Si 3.4062 5.1092 0.0000
Si 0.0000 3.4062 1.7031
Si 3.4062 1.7031 0.0000
Si 1.7031 0.0000 3.4062
Sm 0.0000 0.0000 0.0000
Sm 3.4062 3.4062 3.4062
Au 3.4062 0.0000 1.7031
Au 0.0000 5.1092 3.4062
Au 3.4062 0.0000 5.1092
Au 0.0000 1.7031 3.4062
Au 5.1092 3.4062 0.0000
Au 1.7031 3.4062 0.0000
```

Total magnetization   0.000 Bohr magnetons per cell
E_form (uncorrected)   -0.06 eV/atom